[1]
## PaBeHg (GGA-PBE)

Data for PaBeHg after structural relaxation.

Calculated volume in A^3/atom: 21.57
Space-group type: No. 216
E in eV/atom: -4.140

a b c (Å): 4.5065 4.5065 4.5065
angles (deg): 60.00 60.00 60.00
Site moments in Bohr magnetons follow the coordinates.
Fractional coordinates of all 3 atoms:
Be 0.0000 0.0000 0.0000  0.01
Hg 0.2500 0.2500 0.2500  0.01
Pa 0.7500 0.7500 0.7500  0.75

***

[2]
## BeHg2Pb (GGA-PBE)

Data for BeHg2Pb after structural relaxation.

Calculated volume in A^3/atom: 23.17
Space-group type: No. 216
E in eV/atom: -1.457

a b c (Å): 5.0795 5.0795 5.0795
angles (deg): 60.00 60.00 60.00
Fractional coordinates of all 4 atoms:
Be 0.2500 0.2500 0.2500
Hg 0.0000 0.0000 0.0000
Hg 0.7500 0.7500 0.7500
Pb 0.5000 0.5000 0.5000